# 1
VASP calculation (PBE) on crystalline BeAlTc2 at its relaxed geometry. Values from VASP.

```
&SYSTEM
  ibrav = 0, nat = 4, ntyp = 3
/
ATOMIC_SPECIES
Be 9.01 Be.upf
Al 26.98 Al.upf
Tc 98.00 Tc.upf
CELL_PARAMETERS angstrom
3.9126 0.0000 0.0000
0.0000 1.4119 4.7063
0.0000 -1.4119 4.7063
ATOMIC_POSITIONS crystal
Be 0.0000 0.0000 0.0000
Al 0.5000 0.8655 0.8655
Tc 0.0000 0.2515 0.2515
Tc 0.5000 0.5991 0.5991
```

Computed properties:
Total energy, eV/atom: -7.1818
Excess energy over the best structure of this formula in the dataset, meV/atom: 168.4

# 2
VASP calculation (PBE) on crystalline Be4AlTc at its relaxed geometry. Values from VASP.

```
&SYSTEM
  ibrav = 0, nat = 6, ntyp = 3
/
ATOMIC_SPECIES
Be 9.01 Be.upf
Al 26.98 Al.upf
Tc 98.00 Tc.upf
CELL_PARAMETERS angstrom
0.0000 3.0942 3.0942
3.0942 0.0000 3.0942
3.0942 3.0942 0.0000
ATOMIC_POSITIONS crystal
Be 0.3777 0.3777 0.3777
Be 0.3777 0.3777 0.8670
Be 0.3777 0.8670 0.3777
Be 0.8670 0.3777 0.3777
Al 0.0000 0.0000 0.0000
Tc 0.7500 0.7500 0.7500
```

Computed properties:
Total energy, eV/atom: -5.0830

# 3
VASP calculation (PBE) on crystalline BeAlTc2 at its relaxed geometry. Values from VASP.

```
&SYSTEM
  ibrav = 0, nat = 4, ntyp = 3
/
ATOMIC_SPECIES
Be 9.01 Be.upf
Al 26.98 Al.upf
Tc 98.00 Tc.upf
CELL_PARAMETERS angstrom
2.6195 -4.0290 0.0000
2.6195 4.0290 0.0000
-0.8241 0.0000 2.5267
ATOMIC_POSITIONS crystal
Be 0.0000 0.0000 0.0000
Al 0.5000 0.5000 0.0000
Tc 0.0000 0.5000 0.5000
Tc 0.5000 0.0000 0.5000
```

Computed properties:
Total energy, eV/atom: -7.0947
Excess energy over the best structure of this formula in the dataset, meV/atom: 255.5

# 4
VASP calculation (PBE) on crystalline Be2AlTc2 at its relaxed geometry. Values from VASP.

```
&SYSTEM
  ibrav = 0, nat = 5, ntyp = 3
/
ATOMIC_SPECIES
Be 9.01 Be.upf
Al 26.98 Al.upf
Tc 98.00 Tc.upf
CELL_PARAMETERS angstrom
-1.8059 1.8059 5.0719
1.8059 -1.8059 5.0719
1.8059 1.8059 -5.0719
ATOMIC_POSITIONS crystal
Be 0.0980 0.0980 0.0000
Be 0.9020 0.9020 0.0000
Al 0.5000 0.5000 0.0000
Tc 0.2500 0.7500 0.5000
Tc 0.7500 0.2500 0.5000
```

Computed properties:
Total energy, eV/atom: -6.1034
Excess energy over the best structure of this formula in the dataset, meV/atom: 726.0

# 5
VASP calculation (PBE) on crystalline BeAl2Tc2 at its relaxed geometry. Values from VASP.

```
&SYSTEM
  ibrav = 0, nat = 10, ntyp = 3
/
ATOMIC_SPECIES
Be 9.01 Be.upf
Al 26.98 Al.upf
Tc 98.00 Tc.upf
CELL_PARAMETERS angstrom
5.9948 0.0000 0.0000
0.0000 5.9948 0.0000
0.0000 0.0000 3.9743
ATOMIC_POSITIONS crystal
Be 0.0000 0.0000 0.0000
Be 0.5000 0.5000 0.0000
Al 0.1595 0.3405 0.5000
Al 0.3405 0.8405 0.5000
Al 0.6595 0.1595 0.5000
Al 0.8405 0.6595 0.5000
Tc 0.1528 0.6528 0.0000
Tc 0.3472 0.1528 0.0000
Tc 0.6528 0.8472 0.0000
Tc 0.8472 0.3472 0.0000
```

Computed properties:
Total energy, eV/atom: -6.5753
Excess energy over the best structure of this formula in the dataset, meV/atom: 0.0

# 6
VASP calculation (PBE) on crystalline BeAlTc2 at its relaxed geometry. Values from VASP.

```
&SYSTEM
  ibrav = 0, nat = 4, ntyp = 3
/
ATOMIC_SPECIES
Be 9.01 Be.upf
Al 26.98 Al.upf
Tc 98.00 Tc.upf
CELL_PARAMETERS angstrom
1.5679 -2.1604 0.0000
1.5679 2.1604 0.0000
0.0000 0.0000 7.7474
ATOMIC_POSITIONS crystal
Be 0.0000 0.0000 0.0000
Al 0.0000 0.0000 0.5000
Tc 0.5000 0.5000 0.2310
Tc 0.5000 0.5000 0.7690
```

Computed properties:
Total energy, eV/atom: -7.1120
Excess energy over the best structure of this formula in the dataset, meV/atom: 238.2

# 7
VASP calculation (PBE) on crystalline BeAlTc2 at its relaxed geometry. Values from VASP.

```
&SYSTEM
  ibrav = 0, nat = 4, ntyp = 3
/
ATOMIC_SPECIES
Be 9.01 Be.upf
Al 26.98 Al.upf
Tc 98.00 Tc.upf
CELL_PARAMETERS angstrom
-1.5134 2.0744 4.1188
1.5134 -2.0744 4.1188
1.5134 2.0744 -4.1188
ATOMIC_POSITIONS crystal
Be 0.0000 0.0000 0.0000
Al 0.7618 0.2618 0.5000
Tc 0.2340 0.7340 0.5000
Tc 0.4999 0.4999 0.0000
```

Computed properties:
Total energy, eV/atom: -7.1989
Excess energy over the best structure of this formula in the dataset, meV/atom: 151.4

# 8
VASP calculation (PBE) on crystalline BeAl2Tc2 at its relaxed geometry. Values from VASP.

```
&SYSTEM
  ibrav = 0, nat = 10, ntyp = 3
/
ATOMIC_SPECIES
Be 9.01 Be.upf
Al 26.98 Al.upf
Tc 98.00 Tc.upf
CELL_PARAMETERS angstrom
6.3400 0.0000 0.0000
0.0000 6.3400 0.0000
0.0000 0.0000 3.3971
ATOMIC_POSITIONS crystal
Be 0.0000 0.0000 0.0000
Be 0.5000 0.5000 0.0000
Al 0.1365 0.3635 0.0000
Al 0.3635 0.8635 0.0000
Al 0.6365 0.1365 0.0000
Al 0.8635 0.6365 0.0000
Tc 0.1689 0.6689 0.5000
Tc 0.3311 0.1689 0.5000
Tc 0.6689 0.8311 0.5000
Tc 0.8311 0.3311 0.5000
```

Computed properties:
Total energy, eV/atom: -6.5106
Excess energy over the best structure of this formula in the dataset, meV/atom: 64.7

Which value of total energy does entry 7 give?
-7.1989 eV/atom

Number 1 is which compound?
BeAlTc2

What is the total energy in the third record?
-7.0947 eV/atom